# 1
Entry from Alexandria: an optimized crystal structure of Sm12DyEr6 (PBE-GGA).

Cell lengths 8.755, 8.755, 8.755 Å; angles 98.84, 98.84, 98.84 degrees
Positions (direct):
Sm 0.000 0.259 0.741
Sm 0.000 0.741 0.259
Sm 0.146 0.146 0.417
Sm 0.146 0.417 0.146
Sm 0.259 0.000 0.741
Sm 0.259 0.741 0.000
Sm 0.417 0.146 0.146
Sm 0.583 0.854 0.854
Sm 0.741 0.000 0.259
Sm 0.741 0.259 0.000
Sm 0.854 0.583 0.854
Sm 0.854 0.854 0.583
Dy 0.500 0.500 0.500
Er 0.163 0.598 0.598
Er 0.402 0.402 0.837
Er 0.402 0.837 0.402
Er 0.598 0.163 0.598
Er 0.598 0.598 0.163
Er 0.837 0.402 0.402

Calculated values
As for the energy above the most stable polymorph in this dataset: 0.058 eV per atom. The space group is R-3m (166). The value obtained for the formation energy is 3.80 eV/f.u. The final energy comes out at -4.464 eV per atom.

***

# 2
Entry from Alexandria: an optimized crystal structure of Pm3NdCu (PBE-GGA).

Cell lengths 5.534, 5.534, 5.534 Å; angles 90.00, 90.00, 90.00 degrees
Positions (direct):
Pm 0.000 0.000 0.500
Pm 0.000 0.500 0.000
Pm 0.500 0.000 0.000
Nd 0.500 0.500 0.500
Cu 0.000 0.000 0.000

Calculated values
The space group is Pm-3m (221). The value obtained for the formation energy is 0.64 eV/f.u. The final energy comes out at -4.494 eV per atom.

***

# 3
Entry from Alexandria: an optimized crystal structure of Sr2Bi2Rh (PBE-GGA).

Cell lengths 7.620, 7.620, 5.155 Å; angles 90.00, 90.00, 90.00 degrees
Positions (direct):
Sr 0.167 0.333 0.000
Sr 0.333 0.833 0.000
Sr 0.667 0.167 0.000
Sr 0.833 0.667 0.000
Bi 0.150 0.650 0.500
Bi 0.350 0.150 0.500
Bi 0.650 0.850 0.500
Bi 0.850 0.350 0.500
Rh 0.000 0.000 0.500
Rh 0.500 0.500 0.500

Calculated values
As for the energy above the most stable polymorph in this dataset: 0.151 eV per atom. The space group is P4/mbm (127). The value obtained for the formation energy is -2.48 eV/f.u. The final energy comes out at -4.191 eV per atom.

***

# 4
Entry from Alexandria: an optimized crystal structure of V2RuW (PBE-GGA).

Cell lengths 2.721, 4.640, 9.748 Å; angles 90.00, 90.00, 90.00 degrees
Positions (direct):
V 0.000 0.000 0.237
V 0.000 0.000 0.763
V 0.500 0.500 0.263
V 0.500 0.500 0.737
Ru 0.000 0.000 0.000
Ru 0.500 0.500 0.500
W 0.000 0.000 0.500
W 0.500 0.500 0.000

Calculated values
As for the energy above the most stable polymorph in this dataset: 0.790 eV per atom. The space group is Immm (71). The value obtained for the formation energy is 2.28 eV/f.u. The final energy comes out at -9.548 eV per atom.

***

# 5
Entry from Alexandria: an optimized crystal structure of PrEr2Sc (PBE-GGA).

Cell lengths 6.115, 3.529, 11.444 Å; angles 90.00, 100.24, 90.00 degrees
Positions (direct):
Pr 0.000 0.000 0.000
Pr 0.500 0.500 0.000
Er 0.080 0.500 0.738
Er 0.424 0.000 0.267
Er 0.580 0.000 0.738
Er 0.924 0.500 0.267
Sc 0.336 0.500 0.504
Sc 0.836 0.000 0.504

Calculated values
As for the energy above the most stable polymorph in this dataset: 0.004 eV per atom. The space group is Cm (8). The value obtained for the formation energy is 0.13 eV/f.u. The final energy comes out at -5.026 eV per atom.

***

# 6
Entry from Alexandria: an optimized crystal structure of NdPu2Fe9 (PBE-GGA).

Cell lengths 8.782, 8.782, 8.782 Å; angles 33.10, 33.10, 33.10 degrees
Positions (direct):
Nd 0.000 0.000 0.000
Pu 0.147 0.147 0.147
Pu 0.853 0.853 0.853
Fe 0.080 0.582 0.582
Fe 0.334 0.334 0.334
Fe 0.418 0.418 0.920
Fe 0.418 0.920 0.418
Fe 0.500 0.500 0.500
Fe 0.582 0.080 0.582
Fe 0.582 0.582 0.080
Fe 0.666 0.666 0.666
Fe 0.920 0.418 0.418

Calculated values
The space group is R-3m (166). The value obtained for the formation energy is 1.60 eV/f.u. The final energy comes out at -8.999 eV per atom.

***

Number 1: total magnetization 0.00 Bohr magnetons per cell. Number 2: total magnetization 0.00 Bohr magnetons per cell. Number 3: total magnetization 0.00 Bohr magnetons per cell. Number 4: total magnetization 0.00 Bohr magnetons per cell. Number 5: total magnetization 0.02 Bohr magnetons per cell. Number 6: total magnetization 24.15 Bohr magnetons per cell.